1.
The following is a DFT calculation (PBE) of a relaxed Bi2SbPb3 crystal.

a = 20.2947 Å, b = 4.3404 Å, c = 9.1062 Å
α = 90.00°, β = 90.00°, γ = 90.00°
Space group Pnma (No. 62)
Asymmetric unit:
Bi (0.0504, 0.2500, 0.0939) x4
Bi (0.1227, 0.7500, 0.6191) x4
Sb (0.2248, 0.2500, 0.7568) x4
Pb (0.0075, 0.7500, 0.3436) x4
Pb (0.1627, 0.2500, 0.3552) x4
Pb (0.1670, 0.7500, 0.0028) x4

2.
The following is a DFT calculation (PBE) of a relaxed BiSb2Pb crystal.

a = 3.8841 Å, b = 3.8841 Å, c = 7.8296 Å
α = 90.00°, β = 90.00°, γ = 90.00°
Space group P4/mmm (No. 123)
Asymmetric unit:
Bi (0.0000, 0.0000, 0.0000) x1
Sb (0.5000, 0.5000, 0.2443) x2
Pb (0.0000, 0.0000, 0.5000) x1

| no. | ΔE_f (raw) (meV per atom) |
| --- | --- |
| 1 | 59 |
| 2 | 157 |